No. 1
Here is an optimized crystal structure of La2Pm5Sm4 from Alexandria. Energies are from PBE.

The structure in CIF format:
```
data_La2Pm5Sm4
_symmetry_space_group_name_H-M 'C 1 2/m 1'
_symmetry_Int_Tables_number 12
_cell_length_a 24.5066
_cell_length_b 3.5005
_cell_length_c 8.9876
_cell_angle_alpha 90.00
_cell_angle_beta 96.65
_cell_angle_gamma 90.00
loop_
_symmetry_equiv_pos_as_xyz
'x,y,z'
'-x,-y,-z'
'-x,y,-z'
'x,-y,z'
'x+1/2,y+1/2,z'
'-x+1/2,-y+1/2,-z'
'-x+1/2,y+1/2,-z'
'x+1/2,-y+1/2,z'
loop_
_atom_site_label
_atom_site_type_symbol
_atom_site_fract_x
_atom_site_fract_y
_atom_site_fract_z
La1 La 0.0899 0.0000 0.2331
Pm1 Pm 0.0000 0.5000 0.5000
Pm2 Pm 0.1411 0.0000 0.6187
Pm3 Pm 0.2324 0.0000 0.3250
Sm1 Sm 0.0471 0.0000 0.8619
Sm2 Sm 0.1787 0.5000 0.9705
```

Results
- ΔE to the lowest computed polymorph: 7.4 meV/atom
- Formation enthalpy at 0 K: 0.13 eV per atom
- Calculated density: 6.957 Mg/m³

No. 2
Here is an optimized crystal structure of LaPmSm2 from Alexandria. Energies are from PBE.

The structure in CIF format:
```
data_LaPmSm2
_symmetry_space_group_name_H-M 'R -3 m'
_symmetry_Int_Tables_number 166
_symmetry_space_group_name_Hall '-R 3 2"'
_cell_length_a 3.6670
_cell_length_b 3.6670
_cell_length_c 35.8362
_cell_angle_alpha 90.00
_cell_angle_beta 90.00
_cell_angle_gamma 120.00
loop_
_atom_site_label
_atom_site_type_symbol
_atom_site_fract_x
_atom_site_fract_y
_atom_site_fract_z
La1 La 0.0000 0.0000 0.0000
Pm1 Pm 0.0000 0.0000 0.5000
Sm1 Sm 0.0000 0.0000 0.2491
```

Results
- ΔE to the lowest computed polymorph: 0.0 meV/atom
- Formation enthalpy at 0 K: 0.01 eV per atom
- Calculated density: 6.979 Mg/m³

No. 3
Here is an optimized crystal structure of La8PmSm6 from Alexandria. Energies are from PBE.

The structure in CIF format:
```
data_La8PmSm6
_symmetry_space_group_name_H-M 'R -3'
_symmetry_Int_Tables_number 148
_symmetry_space_group_name_Hall '-R 3'
_cell_length_a 10.0160
_cell_length_b 10.0160
_cell_length_c 18.4476
_cell_angle_alpha 90.00
_cell_angle_beta 90.00
_cell_angle_gamma 120.00
loop_
_atom_site_label
_atom_site_type_symbol
_atom_site_fract_x
_atom_site_fract_y
_atom_site_fract_z
La1 La 0.0000 0.0000 0.0851
La2 La 0.0547 0.8159 0.6699
Pm1 Pm 0.0000 0.0000 0.5000
Sm1 Sm 0.0410 0.7600 0.1762
```

Results
- ΔE to the lowest computed polymorph: 110.2 meV/atom
- Formation enthalpy at 0 K: 0.13 eV per atom
- Calculated density: 6.709 Mg/m³

No. 4
Here is an optimized crystal structure of La4Pm8Sm from Alexandria. Energies are from PBE.

The structure in CIF format:
```
data_La4Pm8Sm
_symmetry_space_group_name_H-M 'P -1'
_symmetry_Int_Tables_number 2
_cell_length_a 6.6128
_cell_length_b 6.6431
_cell_length_c 12.0209
_cell_angle_alpha 100.50
_cell_angle_beta 100.39
_cell_angle_gamma 109.67
loop_
_symmetry_equiv_pos_as_xyz
'x,y,z'
'-x,-y,-z'
loop_
_atom_site_label
_atom_site_type_symbol
_atom_site_fract_x
_atom_site_fract_y
_atom_site_fract_z
La1 La 0.0000 0.0000 0.0000
La2 La 0.0000 0.5000 0.5000
La3 La 0.5000 0.0000 0.5000
La4 La 0.5000 0.5000 0.0000
Pm1 Pm 0.0754 0.0992 0.6762
Pm2 Pm 0.1755 0.6771 0.7934
Pm3 Pm 0.3857 0.8870 0.2052
Pm4 Pm 0.4023 0.4259 0.3239
Sm1 Sm 0.0000 0.5000 0.0000
```

Results
- Formation enthalpy at 0 K: 0.19 eV per atom
- Calculated density: 6.565 Mg/m³

| no. | raw total energy (eV/atom) |
| --- | --- |
| 1 | -4.641 |
| 2 | -4.765 |
| 3 | -4.699 |
| 4 | -4.612 |